This record from Alexandria describes a relaxed Tb2Si3Ni12Au crystal. The functional is PBE-GGA.

a = 6.314 Å, b = 6.314 Å, c = 6.314 Å
α = 85.53°, β = 85.53°, γ = 85.53°
Fractional coordinates of all 18 atoms:
Au  0.000  0.000  0.000
Ni  0.691  0.190  0.190
Ni  0.810  0.309  0.810
Ni  0.613  0.613  0.102
Ni  0.613  0.102  0.613
Si  0.500  0.000  0.000
Ni  0.898  0.387  0.387
Ni  0.387  0.898  0.387
Ni  0.190  0.691  0.190
Ni  0.102  0.613  0.613
Ni  0.810  0.810  0.309
Tb  0.340  0.340  0.340
Si  0.000  0.000  0.500
Si  0.000  0.500  0.000
Ni  0.309  0.810  0.810
Ni  0.387  0.387  0.898
Tb  0.660  0.660  0.660
Ni  0.190  0.190  0.691

M_tot   0.000 μB per formula unit
Raw total energy   -5.549 eV per atom